1.
## LiCoHSO5 (SCAN)

Data for a PBEsol-optimized structure of LiCoHSO5.

- symmetry = P2_1/c (14)

a b c (Å): 9.5822 5.2916 7.2628
angles (deg): 90.00 110.62 90.00
Element x y z (fractional)
Li  0.0846  0.0718  0.3163
Li  0.0846  0.4282  0.8163
Li  0.9154  0.5718  0.1837
Li  0.9154  0.9282  0.6837
Co  0.4552  0.2080  0.3984
Co  0.4552  0.2920  0.8984
Co  0.5448  0.7080  0.1016
Co  0.5448  0.7920  0.6016
H  0.3292  0.0138  0.6180
H  0.3292  0.4862  0.1180
H  0.6708  0.5138  0.8820
H  0.6708  0.9862  0.3820
S  0.2157  0.5697  0.5171
S  0.2157  0.9303  0.0171
S  0.7843  0.0697  0.9829
S  0.7843  0.4303  0.4829
O  0.0947  0.0729  0.8695
O  0.0947  0.4271  0.3695
O  0.1677  0.6666  0.0251
O  0.1677  0.8334  0.5251
O  0.2487  0.0513  0.2132
O  0.2487  0.4487  0.7132
O  0.3525  0.5649  0.4617
O  0.3525  0.9351  0.9617
O  0.4309  0.0863  0.6479
O  0.4309  0.4137  0.1479
O  0.5691  0.5863  0.8521
O  0.5691  0.9137  0.3521
O  0.6475  0.0649  0.0383
O  0.6475  0.4351  0.5383
O  0.7513  0.5513  0.2868
O  0.7513  0.9487  0.7868
O  0.8323  0.1666  0.4749
O  0.8323  0.3334  0.9749
O  0.9053  0.5729  0.6305
O  0.9053  0.9271  0.1305



2.
## MgRhC2O (SCAN)

Data for a PBEsol-optimized structure of MgRhC2O.

- density of states at the Fermi level (states/eV/f.u.) = 3.44
- symmetry = P4/mmm (123)

a b c (Å): 3.8342 3.8342 4.7321
angles (deg): 90.00 90.00 90.00
Element x y z (fractional)
Mg  0.0000  0.0000  0.0000
Rh  0.0000  0.0000  0.5000
C  0.0000  0.5000  0.0000
C  0.5000  0.0000  0.0000
O  0.5000  0.5000  0.5000



3.
## ZrNi2Os (SCAN)

Data for a PBEsol-optimized structure of ZrNi2Os.

- density of states at the Fermi level (states/eV/f.u.) = 3.61
- symmetry = P4/mmm (123)
- formation energy from the elements (eV/atom) = -0.048

a b c (Å): 3.2155 3.2155 5.3558
angles (deg): 90.00 90.00 90.00
Element x y z (fractional)
Zr  0.0000  0.0000  0.0000
Ni  0.5000  0.5000  0.2701
Ni  0.5000  0.5000  0.7299
Os  0.0000  0.0000  0.5000



4.
## CsZr3Cu (SCAN)

Data for a PBEsol-optimized structure of CsZr3Cu.

- density of states at the Fermi level (states/eV/f.u.) = 8.33
- symmetry = Pm-3m (221)
- formation energy from the elements (eV/atom) = 2.310

a b c (Å): 5.1535 5.1535 5.1535
angles (deg): 90.00 90.00 90.00
Element x y z (fractional)
Cs  0.0000  0.0000  0.0000
Zr  0.0000  0.0000  0.5000
Zr  0.0000  0.5000  0.0000
Zr  0.5000  0.0000  0.0000
Cu  0.5000  0.5000  0.5000



5.
## CdHg8 (SCAN)

Data for a PBEsol-optimized structure of CdHg8.

- density of states at the Fermi level (states/eV/f.u.) = 2.87
- symmetry = I4/mmm (139)
- formation energy from the elements (eV/atom) = 0.048

a b c (Å): 7.1085 7.1085 7.1085
angles (deg): 95.71 95.71 143.23
Element x y z (fractional)
Cd  0.0000  0.0000  0.0000
Hg  0.0000  0.3322  0.3322
Hg  0.0000  0.6678  0.6678
Hg  0.3322  0.0000  0.3322
Hg  0.3350  0.3350  0.6700
Hg  0.3350  0.6650  0.0000
Hg  0.6650  0.3350  0.0000
Hg  0.6650  0.6650  0.3300
Hg  0.6678  0.0000  0.6678



6.
## BaSrCd2 (SCAN)

Data for a PBEsol-optimized structure of BaSrCd2.

- density of states at the Fermi level (states/eV/f.u.) = 0.49
- symmetry = F-43m (216)
- formation energy from the elements (eV/atom) = -0.246

a b c (Å): 7.7881 7.7881 7.7881
angles (deg): 90.00 90.00 90.00
Element x y z (fractional)
Ba  0.0000  0.0000  0.0000
Ba  0.0000  0.5000  0.5000
Ba  0.5000  0.0000  0.5000
Ba  0.5000  0.5000  0.0000
Sr  0.2500  0.2500  0.7500
Sr  0.2500  0.7500  0.2500
Sr  0.7500  0.2500  0.2500
Sr  0.7500  0.7500  0.7500
Cd  0.0000  0.0000  0.5000
Cd  0.0000  0.5000  0.0000
Cd  0.2500  0.2500  0.2500
Cd  0.2500  0.7500  0.7500
Cd  0.5000  0.0000  0.0000
Cd  0.5000  0.5000  0.5000
Cd  0.7500  0.2500  0.7500
Cd  0.7500  0.7500  0.2500



7.
## LaTc2Pt (SCAN)

Data for a PBEsol-optimized structure of LaTc2Pt.

- density of states at the Fermi level (states/eV/f.u.) = 4.21
- symmetry = C2/m (12)
- formation energy from the elements (eV/atom) = 0.300

a b c (Å): 5.5449 9.5659 2.8158
angles (deg): 90.00 112.45 90.00
Element x y z (fractional)
La  0.0000  0.0000  0.0000
La  0.5000  0.5000  0.0000
Tc  0.2500  0.2500  0.5000
Tc  0.2500  0.7500  0.5000
Tc  0.7500  0.2500  0.5000
Tc  0.7500  0.7500  0.5000
Pt  0.0000  0.5000  0.0000
Pt  0.5000  0.0000  0.0000



8.
## SrZnIr (SCAN)

Data for a PBEsol-optimized structure of SrZnIr.

- density of states at the Fermi level (states/eV/f.u.) = 1.01
- symmetry = P-6m2 (187)
- formation energy from the elements (eV/atom) = -0.295

a b c (Å): 4.2553 4.2553 4.2597
angles (deg): 90.00 90.00 120.00
Element x y z (fractional)
Sr  0.0000  0.0000  0.0000
Zn  0.6667  0.3333  0.5000
Ir  0.3333  0.6667  0.5000



9.
## Tc2SbPt (SCAN)

Data for a PBEsol-optimized structure of Tc2SbPt.

- density of states at the Fermi level (states/eV/f.u.) = 2.83
- symmetry = Imm2 (44)

a b c (Å): 3.2968 4.3955 8.6347
angles (deg): 90.00 90.00 90.00
Element x y z (fractional)
Tc  0.0000  0.0000  0.0000
Tc  0.0000  0.5000  0.2370
Tc  0.5000  0.0000  0.7370
Tc  0.5000  0.5000  0.5000
Sb  0.0000  0.0000  0.4979
Sb  0.5000  0.5000  0.9979
Pt  0.0000  0.5000  0.7647
Pt  0.5000  0.0000  0.2647



10.
## Pt2W (SCAN)

Data for a PBEsol-optimized structure of Pt2W.

- density of states at the Fermi level (states/eV/f.u.) = 1.56
- symmetry = I4/mmm (139)
- formation energy from the elements (eV/atom) = -0.343

a b c (Å): 2.7592 2.7592 11.8888
angles (deg): 90.00 90.00 90.00
Element x y z (fractional)
Pt  0.0000  0.0000  0.1595
Pt  0.0000  0.0000  0.8405
Pt  0.5000  0.5000  0.3405
Pt  0.5000  0.5000  0.6595
W  0.0000  0.0000  0.5000
W  0.5000  0.5000  0.0000



11.
## Fe2RuPb (SCAN)

Data for a PBEsol-optimized structure of Fe2RuPb.

- density of states at the Fermi level (states/eV/f.u.) = 2.03
- symmetry = P4/mmm (123)
- formation energy from the elements (eV/atom) = 0.364

a b c (Å): 3.2810 3.2810 5.7039
angles (deg): 90.00 90.00 90.00
Element x y z (fractional)
Fe  0.0000  0.0000  0.2000
Fe  0.0000  0.0000  0.8000
Ru  0.5000  0.5000  0.0000
Pb  0.5000  0.5000  0.5000



12.
## SrCrCl2 (SCAN)

Data for a PBEsol-optimized structure of SrCrCl2.

- density of states at the Fermi level (states/eV/f.u.) = 1.83
- symmetry = I-4m2 (119)

a b c (Å): 4.0664 4.0664 11.3588
angles (deg): 90.00 90.00 90.00
Element x y z (fractional)
Sr  0.0000  0.0000  0.0000
Sr  0.5000  0.5000  0.5000
Cr  0.0000  0.5000  0.7500
Cr  0.5000  0.0000  0.2500
Cl  0.0000  0.0000  0.5000
Cl  0.0000  0.5000  0.2500
Cl  0.5000  0.0000  0.7500
Cl  0.5000  0.5000  0.0000



13.
## InGa2Hg2 (SCAN)

Data for a PBEsol-optimized structure of InGa2Hg2.

- density of states at the Fermi level (states/eV/f.u.) = 2.10
- symmetry = I4/mmm (139)
- formation energy from the elements (eV/atom) = 0.120

a b c (Å): 3.7646 3.7646 15.8251
angles (deg): 90.00 90.00 90.00
Element x y z (fractional)
In  0.0000  0.0000  0.0000
In  0.5000  0.5000  0.5000
Ga  0.0000  0.5000  0.2500
Ga  0.0000  0.5000  0.7500
Ga  0.5000  0.0000  0.2500
Ga  0.5000  0.0000  0.7500
Hg  0.0000  0.0000  0.3971
Hg  0.0000  0.0000  0.6029
Hg  0.5000  0.5000  0.1029
Hg  0.5000  0.5000  0.8971



14.
## BaGaGe (SCAN)

Data for a PBEsol-optimized structure of BaGaGe.

- density of states at the Fermi level (states/eV/f.u.) = 1.33
- symmetry = P-6m2 (187)
- formation energy from the elements (eV/atom) = -0.597

a b c (Å): 4.3040 4.3040 5.0283
angles (deg): 90.00 90.00 120.00
Element x y z (fractional)
Ba  0.0000  0.0000  0.0000
Ga  0.6667  0.3333  0.5000
Ge  0.3333  0.6667  0.5000



15.
## Fe2NiAs (SCAN)

Data for a PBEsol-optimized structure of Fe2NiAs.

- density of states at the Fermi level (states/eV/f.u.) = 1.28
- symmetry = I4/mmm (139)
- formation energy from the elements (eV/atom) = -0.175

a b c (Å): 3.5004 3.5004 7.5576
angles (deg): 90.00 90.00 90.00
Element x y z (fractional)
Fe  0.0000  0.5000  0.2500
Fe  0.0000  0.5000  0.7500
Fe  0.5000  0.0000  0.2500
Fe  0.5000  0.0000  0.7500
Ni  0.0000  0.0000  0.0000
Ni  0.5000  0.5000  0.5000
As  0.0000  0.0000  0.5000
As  0.5000  0.5000  0.0000



16.
## As2P (SCAN)

Data for a PBEsol-optimized structure of As2P.

- symmetry = C2/m (12)
- formation energy from the elements (eV/atom) = 0.061

a b c (Å): 13.1349 3.5097 7.3835
angles (deg): 90.00 119.50 90.00
Element x y z (fractional)
As  0.0654  0.0000  0.4218
As  0.1733  0.5000  0.9277
As  0.3267  0.0000  0.0723
As  0.4346  0.5000  0.5782
As  0.5654  0.5000  0.4218
As  0.6733  0.0000  0.9277
As  0.8267  0.5000  0.0723
As  0.9346  0.0000  0.5782
P  0.1917  0.5000  0.6251
P  0.3083  0.0000  0.3749
P  0.6917  0.0000  0.6251
P  0.8083  0.5000  0.3749



17.
## Cd3NiC (SCAN)

Data for a PBEsol-optimized structure of Cd3NiC.

- density of states at the Fermi level (states/eV/f.u.) = 2.76
- symmetry = Pm-3m (221)
- formation energy from the elements (eV/atom) = 1.517

a b c (Å): 4.8043 4.8043 4.8043
angles (deg): 90.00 90.00 90.00
Element x y z (fractional)
Cd  0.0000  0.0000  0.5000
Cd  0.0000  0.5000  0.0000
Cd  0.5000  0.0000  0.0000
Ni  0.0000  0.0000  0.0000
C  0.5000  0.5000  0.5000



18.
## CaSbP2 (SCAN)

Data for a PBEsol-optimized structure of CaSbP2.

- density of states at the Fermi level (states/eV/f.u.) = 2.08
- symmetry = Cmmm (65)

a b c (Å): 6.2580 6.9879 3.6641
angles (deg): 90.00 90.00 90.00
Element x y z (fractional)
Ca  0.0000  0.0000  0.0000
Ca  0.5000  0.5000  0.0000
Sb  0.0000  0.5000  0.0000
Sb  0.5000  0.0000  0.0000
P  0.2500  0.2500  0.5000
P  0.2500  0.7500  0.5000
P  0.7500  0.2500  0.5000
P  0.7500  0.7500  0.5000



19.
## GaMo3 (SCAN)

Data for a PBEsol-optimized structure of GaMo3.

- density of states at the Fermi level (states/eV/f.u.) = 1.69
- symmetry = Pm-3n (223)
- formation energy from the elements (eV/atom) = -0.207

a b c (Å): 4.9107 4.9107 4.9107
angles (deg): 90.00 90.00 90.00
Element x y z (fractional)
Ga  0.0000  0.0000  0.0000
Ga  0.5000  0.5000  0.5000
Mo  0.0000  0.2500  0.5000
Mo  0.0000  0.7500  0.5000
Mo  0.2500  0.5000  0.0000
Mo  0.5000  0.0000  0.2500
Mo  0.5000  0.0000  0.7500
Mo  0.7500  0.5000  0.0000



20.
## LuAl3 (SCAN)

Data for a PBEsol-optimized structure of LuAl3.

- density of states at the Fermi level (states/eV/f.u.) = 1.61
- symmetry = P6_3/mmc (194)
- formation energy from the elements (eV/atom) = -0.407

a b c (Å): 6.0574 6.0574 4.6020
angles (deg): 90.00 90.00 120.00
Element x y z (fractional)
Lu  0.3333  0.6667  0.2500
Lu  0.6667  0.3333  0.7500
Al  0.1523  0.3046  0.7500
Al  0.1523  0.8477  0.7500
Al  0.3046  0.1523  0.2500
Al  0.6954  0.8477  0.7500
Al  0.8477  0.1523  0.2500
Al  0.8477  0.6954  0.2500



Number 1: total magnetization 11.97 μB/cell, DFT total energy -8.743 eV per atom. Number 2: total magnetization 2.59 μB/cell, DFT total energy -10.180 eV per atom. Number 3: total magnetization 0.00 μB/cell, DFT total energy -33.779 eV per atom. Number 4: total magnetization 0.01 μB/cell, DFT total energy -26.711 eV per atom. Number 5: total magnetization 0.00 μB/cell, DFT total energy -63.923 eV per atom. Number 6: total magnetization 0.00 μB/cell, DFT total energy -30.910 eV per atom. Number 7: total magnetization 0.00 μB/cell, DFT total energy -45.555 eV per atom. Number 8: total magnetization 0.00 μB/cell, DFT total energy -35.924 eV per atom. Number 9: total magnetization 0.00 μB/cell, DFT total energy -44.236 eV per atom. Number 10: total magnetization 0.00 μB/cell, DFT total energy -70.367 eV per atom. Number 11: total magnetization 7.53 μB/cell, DFT total energy -36.353 eV per atom. Number 12: total magnetization 11.51 μB/cell, DFT total energy -15.259 eV per atom. Number 13: total magnetization 0.00 μB/cell, DFT total energy -40.362 eV per atom. Number 14: total magnetization 0.00 μB/cell, DFT total energy -25.592 eV per atom. Number 15: total magnetization 11.55 μB/cell, DFT total energy -18.331 eV per atom. Number 16: total magnetization 0.00 μB/cell, DFT total energy -16.865 eV per atom. Number 17: total magnetization 1.94 μB/cell, DFT total energy -21.987 eV per atom. Number 18: total magnetization 0.00 μB/cell, DFT total energy -17.170 eV per atom. Number 19: total magnetization 0.00 μB/cell, DFT total energy -30.458 eV per atom. Number 20: total magnetization 0.22 μB/cell, DFT total energy -20.057 eV per atom.